A relaxed structure of Mg6VSiO8, computed with PBE+U.

Results
Symmetry: P4/mmm
DOS(E_F), states/eV per cell: 0.3
Distance to the lowest polymorph of the same formula, eV/atom: 0.007

Cell lengths 4.3377, 4.3377, 8.6887 Å; angles 90.00, 90.00, 90.00 degrees
Site moments in Bohr magnetons follow the coordinates.
Fractional coordinates of all 16 atoms:
Mg (0.5000, 0.5000, 0.0000)  0.00
Mg (0.5000, 0.5000, 0.5000)  0.00
Mg (0.0000, 0.5000, 0.2487)  0.00
Mg (0.0000, 0.5000, 0.7513)  0.00
Mg (0.5000, 0.0000, 0.2487)  0.00
Mg (0.5000, 0.0000, 0.7513)  0.00
V (0.0000, 0.0000, 0.0000)  2.68
Si (0.0000, 0.0000, 0.5000)  -0.01
O (0.0000, 0.0000, 0.2460)  0.01
O (0.0000, 0.0000, 0.7540)  0.01
O (0.5000, 0.5000, 0.2503)  0.00
O (0.5000, 0.5000, 0.7497)  0.00
O (0.0000, 0.5000, 0.0000)  0.01
O (0.0000, 0.5000, 0.5000)  0.00
O (0.5000, 0.0000, 0.0000)  0.01
O (0.5000, 0.0000, 0.5000)  0.00